No. 1
DFT (PBE-GGA) results for crystalline La2VCrPd at its relaxed geometry.

Lattice parameters (Å, degrees): 5.6228 4.7427 5.6228 90.00 90.00 90.00
Last column: nearest neighbours and their distance in Å.
Fractional positions:
V: 0.0000 0.5000 0.0000  2 Pd 2.37
La: 0.5000 0.0000 0.0000  2 Pd 2.81
La: 0.0000 0.0000 0.5000  2 Pd 2.81
Pd: 0.0000 0.0000 0.0000  2 V 2.37
Cr: 0.5000 0.5000 0.5000  8 La 3.68, 4 V 3.98

Values from the calculation:
* E_form: 949 meV/atom
* calculated total energy: -5.81 eV/atom
* crystal system: tetragonal

=====

No. 2
DFT (PBE-GGA) results for crystalline Na3In3Bi at its relaxed geometry.

Lattice parameters (Å, degrees): 8.1926 8.1926 8.1926 90.00 90.00 90.00
Last column: nearest neighbours and their distance in Å.
Fractional positions:
Na: 0.0000 0.7500 0.5000  4 In 2.90
Na: 0.5000 0.0000 0.7500  4 In 2.90
Na: 0.7500 0.5000 0.0000  4 In 2.90
Na: 0.5000 0.0000 0.2500  4 In 2.90
Na: 0.2500 0.5000 0.0000  4 In 2.90
Na: 0.0000 0.2500 0.5000  4 In 2.90
In: 0.5000 0.2500 0.0000  4 Na 2.90
In: 0.5000 0.7500 0.0000  4 Na 2.90
In: 0.0000 0.5000 0.7500  4 Na 2.90
In: 0.7500 0.0000 0.5000  4 Na 2.90
In: 0.0000 0.5000 0.2500  4 Na 2.90
In: 0.2500 0.0000 0.5000  4 Na 2.90
Bi: 0.5000 0.5000 0.5000  12 In 4.58, 12 Na 4.58
Bi: 0.0000 0.0000 0.0000  12 In 4.58, 12 Na 4.58

Values from the calculation:
* E_form: 560 meV/atom
* calculated total energy: -1.73 eV/atom
* crystal system: cubic

=====

No. 3
DFT (PBE-GGA) results for crystalline TlH8W2 at its relaxed geometry.

Lattice parameters (Å, degrees): 5.8150 4.9063 4.9063 123.36 89.94 89.94
Last column: nearest neighbours and their distance in Å.
Fractional positions:
H: 0.7149 0.6110 0.6110  2 W 1.84, 2 H 1.85
H: 0.3733 0.6507 0.0057  2 W 1.85-1.89
H: 0.3703 0.4406 0.4406  2 W 1.90
H: 0.3733 0.0057 0.6507  2 W 1.85-1.89
H: 0.6526 0.2510 0.9873  2 W 1.83-1.88
H: 0.6526 0.9873 0.2510  2 W 1.83-1.88
H: 0.8547 0.6860 0.3186  1 W 1.71, 1 H 1.85
H: 0.8547 0.3186 0.6860  1 W 1.71, 1 H 1.85
W: 0.5614 0.3207 0.6732  7 H 1.71-1.90
W: 0.5614 0.6732 0.3207  7 H 1.71-1.90
Tl: 0.0309 0.0214 0.0214  6 H 2.52-2.78

Values from the calculation:
* calculated total energy: -4.81 eV/atom
* crystal system: monoclinic

=====

No. 4
DFT (PBE-GGA) results for crystalline Dy2TmAl at its relaxed geometry.

Lattice parameters (Å, degrees): 5.0423 6.5639 6.5639 89.94 90.00 90.00
Last column: nearest neighbours and their distance in Å.
Fractional positions:
Dy: 0.5000 0.0000 0.5000  4 Al 3.28, 4 Tm 3.46, 4 Dy 3.46
Dy: 0.0000 0.1997 0.8003  2 Al 3.13, 4 Tm 3.34-3.35, 4 Dy 3.46
Dy: 0.5000 0.5000 0.0000  4 Al 3.28, 4 Tm 3.46, 4 Dy 3.46
Dy: 0.0000 0.8003 0.1997  2 Al 3.13, 4 Tm 3.34-3.35, 4 Dy 3.46
Al: 0.5000 0.0000 0.0000  8 Dy 3.13-3.28
Al: 0.5000 0.5000 0.5000  4 Tm 3.13, 4 Dy 3.28
Tm: 0.0000 0.6992 0.6992  2 Al 3.13, 8 Dy 3.34-3.46
Tm: 0.0000 0.3008 0.3008  2 Al 3.13, 8 Dy 3.34-3.46

Values from the calculation:
* E_form: -174 meV/atom
* calculated total energy: -4.53 eV/atom
* crystal system: orthorhombic